DFT (PBE) results for crystalline CrIr2Ru2 at its relaxed geometry.

abc: 4.784 4.784 8.691
angles: 97.03 97.03 123.74
Last column: magnetic moment on the atom in μB.
Fractional positions:
Ir 0.413 0.587 0.500  0.14
Ir 0.087 0.913 0.500  0.14
Ir 0.163 0.837 0.000  0.14
Ir 0.837 0.163 0.000  0.14
Ru 0.625 0.375 0.750  0.44
Ru 0.625 0.875 0.250  0.44
Ru 0.625 0.375 0.250  0.44
Ru 0.125 0.375 0.750  0.44
Cr 0.750 0.250 0.500  0.49
Cr 0.500 0.500 0.000  0.49

Calculated values
calculated density = 13.277 g/cm3
formation energy from the elements = 766 meV per atom

***

DFT (PBE) results for crystalline CrIr2Ru at its relaxed geometry.

abc: 2.710 4.260 9.709
angles: 93.47 97.98 90.01
Fractional positions:
Ru 0.296 0.189 0.591
Ru 0.704 0.811 0.409
Ir 0.074 0.769 0.152
Ir 0.841 0.707 0.680
Ir 0.926 0.231 0.848
Ir 0.159 0.293 0.320
Cr 0.462 0.740 0.921
Cr 0.538 0.260 0.079

Calculated values
calculated density = 16.111 g/cm3
formation energy from the elements = -93 meV per atom
offset from the most stable computed form = 86 meV per atom

***

DFT (PBE) results for crystalline CrIrRu4 at its relaxed geometry.

abc: 5.037 5.037 5.037
angles: 60.00 60.00 60.00
Last column: magnetic moment on the atom in μB.
Fractional positions:
Ru 0.375 0.375 0.375  -0.64
Ru 0.876 0.375 0.375  -0.64
Ru 0.375 0.375 0.876  -0.64
Ru 0.375 0.876 0.375  -0.64
Ir 0.000 0.000 0.000  -0.46
Cr 0.750 0.750 0.750  2.81

Calculated values
calculated density = 11.914 g/cm3
formation energy from the elements = 583 meV per atom
offset from the most stable computed form = 537 meV per atom